[1]
The following is a PBE calculation of a geometry-optimized K2RbHoF6 structure, from OQMD.

Lattice parameters (Å, degrees): 6.190 6.226 6.362 90.76 118.53 119.38
Space group P-1 (No. 2)
Symmetry-distinct sites (fractional):
K 0.020 0.249 0.275
Rb 0.500 0.500 0.000
Ho 0.500 0.000 0.500
F 0.046 0.847 0.359
F 0.368 0.794 0.142
F 0.477 0.679 0.630

---

[2]
The following is a PBE calculation of a geometry-optimized MgPAuO structure, from OQMD.

Lattice parameters (Å, degrees): 4.088 4.088 8.548 90.00 90.00 90.00
Space group P4/nmm (No. 129, origin choice 2)
Symmetry-distinct sites (fractional):
Mg 0.250 0.250 0.004
P 0.250 0.250 0.335
Au 0.250 0.750 0.500
O 0.250 0.750 0.000

offset from the most stable computed form: 0.000 eV/atom

---

[3]
The following is a PBE calculation of a geometry-optimized CsHfAu3S4 structure, from OQMD.

Lattice parameters (Å, degrees): 6.371 6.371 6.371 90.00 90.00 90.00
Space group P-43m (No. 215)
Symmetry-distinct sites (fractional):
Cs 0.000 0.000 0.000
Hf 0.500 0.500 0.500
Au 0.000 0.500 0.500
S 0.284 0.284 0.284

offset from the most stable computed form: 0.044 eV/atom

---

[4]
The following is a PBE calculation of a geometry-optimized TaSbNO structure, from OQMD.

Lattice parameters (Å, degrees): 4.213 4.213 7.791 90.00 90.00 90.00
Space group P4/nmm (No. 129, origin choice 2)
Symmetry-distinct sites (fractional):
Ta 0.250 0.250 0.038
Sb 0.250 0.750 0.500
N 0.250 0.250 0.266
O 0.250 0.750 0.000

offset from the most stable computed form: 0.385 eV/atom

---

[5]
The following is a PBE calculation of a geometry-optimized Re2Bi structure, from OQMD.

Lattice parameters (Å, degrees): 7.700 7.700 7.700 90.00 90.00 90.00
Space group Fd-3m (No. 227, origin choice 2)
Symmetry-distinct sites (fractional):
Re 0.000 0.000 0.000
Bi 0.125 0.125 0.625

offset from the most stable computed form: 0.000 eV/atom

---

[6]
The following is a PBE calculation of a geometry-optimized ThSbN structure, from OQMD.

Lattice parameters (Å, degrees): 5.940 5.931 7.885 90.00 91.03 90.00
Space group C2/m (No. 12)
Symmetry-distinct sites (fractional):
Th 0.247 0.000 0.361
Sb 0.236 0.500 0.058
N 0.000 0.250 0.500

---

Number 1: uncorrected energy -5.1793 eV per atom, calculated density 4.1 g cm⁻³. Number 2: uncorrected energy -4.6864 eV per atom, calculated density 6.2 g cm⁻³. Number 3: uncorrected energy -4.7603 eV per atom, calculated density 6.6 g cm⁻³. Number 4: uncorrected energy -7.8615 eV per atom, calculated density 8.0 g cm⁻³. Number 5: uncorrected energy -8.7312 eV per atom, calculated density 16.9 g cm⁻³. Number 6: uncorrected energy -7.9095 eV per atom, calculated density 8.8 g cm⁻³.